Here is an optimized crystal structure of Dy2Ni9Sn from the Alexandria database. Energies are from PBE.

Summary:
Raw total energy = -68.31 eV per cell
Density = 9.51 g/cm3
SG = R-3m, No. 166

a b c (Å): 8.621 8.621 8.621
angles (deg): 33.07 33.07 33.07
Atoms (fractional coordinates):
Dy (0.137, 0.137, 0.137)
Dy (0.863, 0.863, 0.863)
Ni (0.082, 0.583, 0.583)
Ni (0.333, 0.333, 0.333)
Ni (0.417, 0.417, 0.918)
Ni (0.417, 0.918, 0.417)
Ni (0.500, 0.500, 0.500)
Ni (0.583, 0.082, 0.583)
Ni (0.583, 0.583, 0.082)
Ni (0.667, 0.667, 0.667)
Ni (0.918, 0.417, 0.417)
Sn (0.000, 0.000, 0.000)